1.
BaTi18Mn3O38 | meta-GGA SCAN | PBEsol geometry

Cell: 10.718 10.718 10.718 Å, 55.58 55.58 55.58°
Atoms (fractional coordinates):
1 Mn 0.295 0.295 0.295
2 Mn 0.705 0.705 0.705
3 Mn 0.500 0.500 0.500
4 O 0.570 0.570 0.570
5 O 0.157 0.712 0.380
6 O 0.113 0.250 0.936
7 O 0.679 0.134 0.178
8 O 0.430 0.430 0.430
9 O 0.134 0.178 0.679
10 O 0.380 0.157 0.712
11 O 0.838 0.387 0.296
12 O 0.822 0.321 0.866
13 O 0.972 0.930 0.550
14 O 0.028 0.070 0.450
15 O 0.296 0.838 0.387
16 O 0.750 0.064 0.887
17 O 0.162 0.613 0.704
18 O 0.321 0.866 0.822
19 O 0.086 0.432 0.400
20 O 0.914 0.568 0.600
21 O 0.432 0.400 0.086
22 O 0.887 0.750 0.064
23 O 0.568 0.600 0.914
24 O 0.930 0.550 0.972
25 O 0.064 0.887 0.750
26 O 0.070 0.450 0.028
27 O 0.387 0.296 0.838
28 O 0.843 0.288 0.620
29 O 0.400 0.086 0.432
30 O 0.250 0.936 0.113
31 O 0.450 0.028 0.070
32 O 0.600 0.914 0.568
33 O 0.712 0.380 0.157
34 O 0.866 0.822 0.321
35 O 0.288 0.620 0.843
36 O 0.613 0.704 0.162
37 O 0.550 0.972 0.930
38 O 0.704 0.162 0.613
39 O 0.936 0.113 0.250
40 O 0.620 0.843 0.288
41 O 0.178 0.679 0.134
42 Ti 0.940 0.324 0.107
43 Ti 0.039 0.649 0.363
44 Ti 0.060 0.676 0.893
45 Ti 0.107 0.940 0.324
46 Ti 0.893 0.060 0.676
47 Ti 0.295 0.407 0.676
48 Ti 0.324 0.705 0.593
49 Ti 0.649 0.363 0.039
50 Ti 0.363 0.039 0.649
51 Ti 0.637 0.961 0.351
52 Ti 0.593 0.324 0.705
53 Ti 0.961 0.351 0.637
54 Ti 0.351 0.637 0.961
55 Ti 0.407 0.676 0.295
56 Ti 0.676 0.295 0.407
57 Ti 0.324 0.107 0.940
58 Ti 0.676 0.893 0.060
59 Ti 0.705 0.593 0.324
60 Ba 0.000 0.000 0.000

Computed properties:
Its density of states at the Fermi level is 5.17 states/eV/cell. Its uncorrected formation energy is -2691 meV per atom. Its space group is R-3 (148).

---

2.
BaYMn4O7 | meta-GGA SCAN | PBEsol geometry

Cell: 6.364 6.364 10.616 Å, 90.00 90.00 120.00°
Atoms (fractional coordinates):
1 Mn 0.171 0.342 0.812
2 Mn 0.829 0.171 0.312
3 Mn 0.171 0.829 0.812
4 Mn 0.658 0.829 0.812
5 Mn 0.000 0.000 0.560
6 Mn 0.342 0.171 0.312
7 Mn 0.000 0.000 0.060
8 Mn 0.829 0.658 0.312
9 O 0.167 0.334 0.995
10 O 0.833 0.666 0.495
11 O 0.000 0.000 0.249
12 O 0.334 0.167 0.495
13 O 0.666 0.833 0.995
14 O 0.507 0.493 0.230
15 O 0.507 0.015 0.230
16 O 0.493 0.985 0.730
17 O 0.985 0.493 0.230
18 O 0.833 0.167 0.495
19 O 0.493 0.507 0.730
20 O 0.015 0.507 0.730
21 O 0.000 0.000 0.749
22 O 0.167 0.833 0.995
23 Ba 0.333 0.667 0.525
24 Ba 0.667 0.333 0.025
25 Y 0.667 0.333 0.621
26 Y 0.333 0.667 0.121

Computed properties:
Its density of states at the Fermi level is 12.22 states/eV/cell. Its uncorrected formation energy is -2485 meV per atom. Its space group is P6_3mc (186).

---

3.
BaMnOs3 | meta-GGA SCAN | PBEsol geometry

Cell: 4.564 4.564 4.564 Å, 90.00 90.00 90.00°
Atoms (fractional coordinates):
1 Mn 0.000 0.000 0.000
2 Os 0.000 0.500 0.000
3 Os 0.500 0.000 0.000
4 Os 0.000 0.000 0.500
5 Ba 0.500 0.500 0.500

Computed properties:
Its density of states at the Fermi level is 3.96 states/eV/cell. The total energy is -266.67 eV/f.u. Its space group is Pm-3m (221).

---

4.
BaMnOs2 | meta-GGA SCAN | PBEsol geometry

Cell: 2.921 5.385 5.933 Å, 116.99 104.25 90.00°
Atoms (fractional coordinates):
1 Os 0.706 0.206 0.412
2 Os 0.005 0.005 0.011
3 Ba 0.495 0.495 0.991
4 Mn 0.293 0.793 0.587

Computed properties:
Its density of states at the Fermi level is 3.00 states/eV/cell. The calculation puts the energy above the lowest structure with this stoichiometry at 0 meV/atom. Its space group is Imm2 (44).

---

5.
Ba2MnOs | meta-GGA SCAN | PBEsol geometry

Cell: 4.119 5.619 5.955 Å, 118.15 110.23 90.00°
Atoms (fractional coordinates):
1 Ba 0.969 0.969 0.938
2 Ba 0.779 0.279 0.558
3 Os 0.175 0.675 0.351
4 Mn 0.577 0.577 0.154

Computed properties:
Its density of states at the Fermi level is 3.31 states/eV/cell. The calculation puts the energy above the lowest structure with this stoichiometry at 47 meV/atom. Its space group is Imm2 (44).

---

6.
Ba2MnOs | meta-GGA SCAN | PBEsol geometry

Cell: 4.283 4.974 6.136 Å, 113.91 90.00 90.00°
Atoms (fractional coordinates):
1 Ba 0.000 0.975 0.950
2 Ba 0.500 0.270 0.541
3 Os 0.500 0.585 0.170
4 Mn 0.000 0.658 0.317

Computed properties:
Its density of states at the Fermi level is 3.97 states/eV/cell. The calculation puts the energy above the lowest structure with this stoichiometry at 0 meV/atom. Its space group is Amm2 (38).